(1)
The following is a DFT calculation (PBE) of an optimized crystal structure of NdSc2Rh.

Space-group type: Pnma, No. 62
Total DFT energy (no corrections): -106.83 eV for the cell shown
Energy above the lowest structure with this stoichiometry: 0 meV per atom
ΔE_f: -481 meV per atom

Unit cell a=6.163 b=7.021 c=8.901 alpha=90.00 beta=90.00 gamma=90.00
Sites, in units of the cell vectors:
Rh  0.412  0.885  0.250
Rh  0.912  0.615  0.750
Rh  0.588  0.115  0.750
Rh  0.088  0.385  0.250
Sc  0.660  0.824  0.936
Sc  0.840  0.324  0.564
Sc  0.840  0.324  0.936
Sc  0.160  0.676  0.436
Sc  0.160  0.676  0.064
Sc  0.660  0.824  0.564
Sc  0.340  0.176  0.436
Sc  0.340  0.176  0.064
Nd  0.630  0.531  0.250
Nd  0.130  0.969  0.750
Nd  0.370  0.469  0.750
Nd  0.870  0.031  0.250

(2)
The following is a DFT calculation (PBE) of an optimized crystal structure of CeHo3Er.

Space-group type: P2_1/c, No. 14
Total DFT energy (no corrections): -93.20 eV for the cell shown
Energy above the lowest structure with this stoichiometry: 22 meV per atom
ΔE_f: 186 meV per atom

Unit cell a=9.257 b=11.271 c=11.648 alpha=149.04 beta=90.00 gamma=90.00
Last column: magnetic moment on the atom in μB.
Sites, in units of the cell vectors:
Ho  0.963  0.820  0.740  -0.06
Ho  0.389  0.959  0.094  -0.06
Ho  0.611  0.041  0.906  -0.06
Ho  0.463  0.180  0.760  -0.06
Ho  0.037  0.180  0.260  -0.06
Ho  0.449  0.605  0.323  -0.08
Ho  0.889  0.041  0.406  -0.06
Ho  0.051  0.605  0.823  -0.08
Ho  0.537  0.820  0.240  -0.06
Ho  0.111  0.959  0.594  -0.06
Ho  0.551  0.395  0.677  -0.08
Ho  0.949  0.395  0.177  -0.08
Er  0.687  0.439  0.442  -0.04
Er  0.813  0.439  0.942  -0.04
Er  0.313  0.561  0.558  -0.04
Er  0.187  0.561  0.058  -0.04
Ce  0.235  0.154  0.504  -0.68
Ce  0.735  0.846  0.996  -0.68
Ce  0.265  0.154  0.004  -0.68
Ce  0.765  0.846  0.496  -0.68

(3)
The following is a DFT calculation (PBE) of an optimized crystal structure of K2Ba3Na2.

Space-group type: Cmmm, No. 65
Total DFT energy (no corrections): -10.37 eV for the cell shown
ΔE_f: 32 meV per atom

Unit cell a=4.841 b=4.724 c=18.712 alpha=90.00 beta=97.43 gamma=90.00
Sites, in units of the cell vectors:
Ba  0.000  0.000  0.000
Ba  0.573  0.500  0.146
Ba  0.427  0.500  0.854
K  0.302  0.500  0.604
K  0.698  0.500  0.396
Na  0.868  0.000  0.735
Na  0.132  0.000  0.265

(4)
The following is a DFT calculation (PBE) of an optimized crystal structure of Pm2TmLu.

Space-group type: P4/mmm, No. 123
Total DFT energy (no corrections): -18.40 eV for the cell shown
Energy above the lowest structure with this stoichiometry: 4 meV per atom
ΔE_f: 24 meV per atom

Unit cell a=4.952 b=5.075 c=5.075 alpha=90.00 beta=90.00 gamma=90.00
Sites, in units of the cell vectors:
Lu  0.500  0.000  0.000
Pm  0.000  0.500  0.000
Pm  0.000  0.000  0.500
Tm  0.500  0.500  0.500

(5)
The following is a DFT calculation (PBE) of an optimized crystal structure of NdNbCd2O6.

Space-group type: R3, No. 146
Total DFT energy (no corrections): -67.95 eV for the cell shown
E_form (uncorrected): -2.153 eV per atom

Unit cell a=5.743 b=5.744 c=6.023 alpha=61.53 beta=61.53 gamma=60.00
Sites, in units of the cell vectors:
O  0.127  0.418  0.779
O  0.568  0.214  0.248
O  0.418  0.676  0.779
O  0.970  0.568  0.248
O  0.214  0.970  0.248
O  0.676  0.127  0.779
Nb  0.312  0.312  0.063
Cd  0.530  0.530  0.410
Cd  0.037  0.037  0.888
Nd  0.808  0.808  0.576

(6)
The following is a DFT calculation (PBE) of an optimized crystal structure of LaNdY5Ho2.

Space-group type: I4/mcm, No. 140
Total DFT energy (no corrections): -97.66 eV for the cell shown
ΔE_f: 260 meV per atom

Unit cell a=8.809 b=8.809 c=9.925 alpha=116.34 beta=116.34 gamma=90.00
Sites, in units of the cell vectors:
Ho  0.884  0.616  0.000
Ho  0.384  0.884  0.000
Ho  0.616  0.116  0.000
Ho  0.116  0.384  0.000
Y  0.500  0.500  0.000
Y  0.167  0.070  0.736
Y  0.070  0.570  0.736
Y  0.430  0.333  0.264
Y  0.570  0.667  0.736
Y  0.333  0.833  0.264
Y  0.667  0.167  0.736
Y  0.833  0.930  0.264
Y  0.930  0.430  0.264
Y  0.000  0.000  0.000
Nd  0.750  0.250  0.500
Nd  0.250  0.750  0.500
La  0.250  0.250  0.500
La  0.750  0.750  0.500

(7)
The following is a DFT calculation (PBE) of an optimized crystal structure of TaCoRe2H.

Space-group type: P4/mmm, No. 123
Total DFT energy (no corrections): -47.24 eV for the cell shown

Unit cell a=3.959 b=3.959 c=3.852 alpha=90.00 beta=90.00 gamma=90.00
Sites, in units of the cell vectors:
Re  0.500  0.000  0.000
Re  0.000  0.500  0.000
Ta  0.500  0.500  0.500
Co  0.000  0.000  0.500
H  0.000  0.000  0.000

(8)
The following is a DFT calculation (PBE) of an optimized crystal structure of Ce4Pr3PuSe8.

Space-group type: R-3m, No. 166
Total DFT energy (no corrections): -109.07 eV for the cell shown
E_form (uncorrected): -1.799 eV per atom

Unit cell a=8.437 b=8.450 c=8.437 alpha=119.95 beta=120.00 gamma=90.00
Last column: magnetic moment on the atom in μB.
Sites, in units of the cell vectors:
Ce  0.500  0.000  0.000  0.86
Ce  0.500  0.000  0.500  0.80
Ce  0.000  0.000  0.000  0.80
Ce  0.000  0.000  0.500  0.80
Se  0.248  0.245  0.497  -0.01
Se  0.752  0.755  0.503  -0.01
Se  0.244  0.249  0.997  -0.03
Se  0.248  0.751  0.003  -0.03
Se  0.752  0.249  0.504  -0.03
Se  0.752  0.249  0.997  -0.03
Se  0.248  0.751  0.496  -0.03
Se  0.756  0.751  0.003  -0.03
Pu  0.000  0.500  0.000  5.44
Pr  0.500  0.500  0.500  0.00
Pr  0.500  0.500  0.000  0.00
Pr  0.000  0.500  0.500  0.00

no.,calculated density (g/cm3)
1,5.8
2,8.5
3,2.1
4,8.3
5,6.4
6,5.9
7,16.9
8,7.3